A plane-wave DFT calculation with PBE with a Hubbard U was carried out for a geometry-optimized Na2UNiO6 structure.

Summary:
SG: P-1, No. 2
Total magnetic moment (μB/cell): 0.0
Total DFT energy (no corrections) (eV per atom): -6.519

Cell: 5.6093 5.5657 5.5811 Å, 59.75 59.86 90.02°
With the nearest neighbours (Å) after each atom.
Fractional positions:
1 Ni 0.5000 0.5000 0.0000  6 O 1.95-1.98
2 Na 0.2506 0.7618 0.4997  5 O 2.42-2.57
3 Na 0.7494 0.2382 0.5003  5 O 2.42-2.57
4 O 0.6992 0.2119 0.0798  1 Ni 1.95, 1 U 2.05
5 O 0.7889 0.7801 0.9183  1 Ni 1.95, 1 U 2.05
6 O 0.7444 0.6680 0.5089  1 Ni 1.98, 1 U 2.04
7 O 0.2111 0.2199 0.0817  1 Ni 1.95, 1 U 2.05
8 O 0.2556 0.3320 0.4911  1 Ni 1.98, 1 U 2.04
9 O 0.3008 0.7881 0.9202  1 Ni 1.95, 1 U 2.05
10 U 0.0000 0.0000 0.0000  6 O 2.04-2.05